## NbTc2Ge2 (PBE)

Data for a relaxed NbTc2Ge2 crystal.

- M_tot (μB/atom) = 0.0116
- energy relative to the lowest polymorph listed for this composition (eV/f.u.) = 0.00

Cell lengths 4.053, 4.053, 10.203 Å; angles 90.00, 90.00, 90.00 degrees
Space group I4/mmm (No. 139)
Symmetry-distinct sites (fractional):
Nb 0.000 0.000 0.000 x2
Tc 0.000 0.500 0.250 x4
Ge 0.000 0.000 0.385 x4